[1]
6
Lattice="-1.972 2.993 5.251 1.972 -2.993 5.251 1.972 2.993 -5.251" Properties=species:S:1:pos:R:3 comment="PuCoSn | Alexandria via LeMat-Bulk | PBE | relaxed" delta_e_f_ev_per_atom=-0.1301 pbc="T T T"
Pu 0.000 0.000 2.272
Pu 0.000 0.000 8.229
Co 1.972 0.000 4.084
Co 0.000 2.993 1.167
Sn 1.972 1.483 0.000
Sn 0.000 1.510 5.251


[2]
12
Lattice="3.924 0.000 0.000 0.000 3.840 0.000 -1.796 0.000 13.467" Properties=species:S:1:pos:R:3 comment="Ti2Pd7Pt3 | Alexandria via LeMat-Bulk | PBE | relaxed" delta_e_f_ev_per_atom=-0.2620 pbc="T T T"
Ti 0.012 0.000 3.971
Ti 2.116 0.000 9.496
Pd -0.005 1.920 2.089
Pd 0.075 0.000 7.601
Pd 0.163 0.000 11.378
Pd 1.962 1.920 0.000
Pd 1.965 0.000 2.088
Pd 2.053 0.000 5.866
Pd 2.133 1.920 11.378
Pt 0.000 0.000 0.000
Pt 0.204 1.920 9.415
Pt 1.924 1.920 4.052


[3]
12
Lattice="-3.146 5.652 5.790 3.146 -5.652 5.790 3.146 5.652 -5.790" Properties=species:S:1:pos:R:3 comment="AcY3Tm8 | Alexandria via LeMat-Bulk | PBE | relaxed" delta_e_f_ev_per_atom=0.3192 pbc="T T T"
Ac 0.000 0.000 0.000
Y 3.146 2.975 0.000
Y 0.000 5.652 0.000
Y 0.000 2.678 5.790
Tm 3.146 -2.804 3.752
Tm 1.606 5.652 -2.753
Tm 1.540 0.000 3.037
Tm 0.000 2.848 2.037
Tm 3.146 2.804 3.752
Tm 1.606 5.652 2.753
Tm 1.540 0.000 8.542
Tm 0.000 8.457 2.037


[4]
4
Lattice="2.720 1.570 3.394 -2.720 1.570 3.394 0.000 -3.141 3.394" Properties=species:S:1:pos:R:3 comment="MgZnSe2 | Alexandria via LeMat-Bulk | PBE | relaxed" formation_energy_uncorrected_ev_per_atom=-0.334 pbc="T T T"
Mg 0.000 0.000 0.000
Zn 0.000 0.000 5.091
Se 0.000 0.000 2.739
Se 0.000 0.000 7.444


[5]
4
Lattice="0.000 3.307 3.307 3.307 0.000 3.307 3.307 3.307 0.000" Properties=species:S:1:pos:R:3 comment="HoHfBeOs | Alexandria via LeMat-Bulk | PBE | relaxed" delta_e_f_ev_per_atom=-0.1725 pbc="T T T"
Ho 0.000 0.000 0.000
Hf 3.307 3.307 3.307
Be 4.960 4.960 4.960
Os 1.653 1.653 1.653


[6]
8
Lattice="5.022 0.000 0.000 0.000 5.039 0.000 0.000 0.000 9.877" Properties=species:S:1:pos:R:3 comment="CePm2HoTm4 | Alexandria via LeMat-Bulk | PBE | relaxed" delta_e_f_ev_per_atom=0.0470 pbc="T T T"
Ce 0.000 0.000 0.000
Pm 0.000 0.000 4.938
Pm 2.511 2.519 0.000
Ho 2.511 2.519 4.938
Tm 0.000 2.519 2.456
Tm 0.000 2.519 7.420
Tm 2.511 0.000 2.454
Tm 2.511 0.000 7.422


[7]
4
Lattice="2.337 -2.364 0.000 2.337 2.364 0.000 0.000 0.000 9.532" Properties=species:S:1:pos:R:3 comment="MgTlIn2 | Alexandria via LeMat-Bulk | PBE | relaxed" delta_e_f_ev_per_atom=-0.0136 pbc="T T T"
Mg 0.000 0.000 0.000
Tl 2.337 0.000 7.268
In 0.000 0.000 4.634
In 2.337 0.000 2.137


[8]
5
Lattice="4.797 0.000 0.000 0.000 4.797 0.000 0.000 0.000 4.837" Properties=species:S:1:pos:R:3 comment="ZrSiAs2Br | Alexandria via LeMat-Bulk | PBE | relaxed" formation_energy_uncorrected_ev_per_atom=0.389 pbc="T T T"
Zr 0.000 0.000 0.000
Si 2.399 2.399 2.419
As 0.000 2.399 2.419
As 2.399 0.000 2.419
Br 2.399 2.399 0.000


[9]
5
Lattice="4.820 0.000 0.000 0.000 4.820 0.000 0.000 0.000 4.820" Properties=species:S:1:pos:R:3 comment="MgZn3Pd | Alexandria via LeMat-Bulk | PBE | relaxed" delta_e_f_ev_per_atom=0.0931 pbc="T T T"
Mg 0.000 0.000 0.000
Zn 0.000 2.410 2.410
Zn 2.410 0.000 2.410
Zn 2.410 2.410 0.000
Pd 2.410 2.410 2.410


[10]
5
Lattice="-2.042 2.042 5.751 2.042 -2.042 5.751 2.042 2.042 -5.751" Properties=species:S:1:pos:R:3 comment="Li2TlSi2 | Alexandria via LeMat-Bulk | PBE | relaxed" formation_energy_uncorrected_ev_per_atom=0.102 pbc="T T T"
Li 2.042 0.000 2.876
Li 0.000 2.042 2.876
Tl 0.000 0.000 0.000
Si 0.000 0.000 4.609
Si 0.000 0.000 6.894


Number 1: D(E_F) 18.06 states/eV per cell. Number 2: D(E_F) 10.13 states/eV per cell. Number 3: D(E_F) 19.04 states/eV per cell. Number 4: D(E_F) 0.55 states/eV per cell. Number 5: D(E_F) 1.93 states/eV per cell. Number 6: D(E_F) 13.01 states/eV per cell. Number 7: D(E_F) 1.55 states/eV per cell. Number 8: D(E_F) 3.15 states/eV per cell. Number 9: D(E_F) 1.85 states/eV per cell. Number 10: D(E_F) 1.82 states/eV per cell.